The following is a GGA-PBE calculation of a geometry-optimized Nd6YCd structure, from Alexandria via LeMat-Bulk.

Computed properties:
**D(E_F)**: 12.58 states/eV per cell
**Calculated formation energy**: 0.421 eV/atom
**Volume**: 39.58 Å³ per atom
**DFT total energy**: -4.077 eV/atom

abc: 6.6233 6.6715 9.1249
angles: 68.58 69.05 59.75
Fractional positions:
Nd1 0.0325 0.4268 0.7088
Nd2 0.8265 0.0233 0.7110
Nd3 0.5670 0.1785 0.2880
Nd4 0.1735 0.9767 0.2890
Nd5 0.9675 0.5732 0.2912
Nd6 0.4330 0.8215 0.7120
Y1 0.5000 0.5000 0.5000
Cd1 0.0000 0.0000 0.0000

***

The following is a GGA-PBE calculation of a geometry-optimized Nd12Y5Cd2 structure, from Alexandria via LeMat-Bulk.

Computed properties:
**D(E_F)**: 29.57 states/eV per cell
**Calculated formation energy**: 0.035 eV/atom
**Volume**: 33.20 Å³ per atom
**DFT total energy**: -4.774 eV/atom

abc: 9.2426 9.1365 8.6736
angles: 92.83 90.00 120.38
Fractional positions:
Nd1 0.9194 0.8388 0.1158
Nd2 0.0379 0.7051 0.7649
Nd3 0.6671 0.7051 0.7649
Nd4 0.1779 0.7469 0.3244
Nd5 0.5690 0.7469 0.3244
Nd6 0.4430 0.8860 0.6668
Nd7 0.5570 0.1140 0.3332
Nd8 0.8221 0.2531 0.6756
Nd9 0.4310 0.2531 0.6756
Nd10 0.9621 0.2949 0.2351
Nd11 0.3329 0.2949 0.2351
Nd12 0.0806 0.1612 0.8842
Y1 0.2330 0.4659 0.5746
Y2 0.3032 0.6064 0.9792
Y3 0.0000 0.0000 0.5000
Y4 0.6968 0.3936 0.0208
Y5 0.7670 0.5341 0.4254
Cd1 0.6672 0.0000 0.0000
Cd2 0.3328 0.0000 0.0000

***

Which value of volume does entry 1 give?
39.58 Å³ per atom

***

Repeat the second record exactly.
The following is a GGA-PBE calculation of a geometry-optimized Nd12Y5Cd2 structure, from Alexandria via LeMat-Bulk.

Computed properties:
**D(E_F)**: 29.57 states/eV per cell
**Calculated formation energy**: 0.035 eV/atom
**Volume**: 33.20 Å³ per atom
**DFT total energy**: -4.774 eV/atom

abc: 9.2426 9.1365 8.6736
angles: 92.83 90.00 120.38
Fractional positions:
Nd1 0.9194 0.8388 0.1158
Nd2 0.0379 0.7051 0.7649
Nd3 0.6671 0.7051 0.7649
Nd4 0.1779 0.7469 0.3244
Nd5 0.5690 0.7469 0.3244
Nd6 0.4430 0.8860 0.6668
Nd7 0.5570 0.1140 0.3332
Nd8 0.8221 0.2531 0.6756
Nd9 0.4310 0.2531 0.6756
Nd10 0.9621 0.2949 0.2351
Nd11 0.3329 0.2949 0.2351
Nd12 0.0806 0.1612 0.8842
Y1 0.2330 0.4659 0.5746
Y2 0.3032 0.6064 0.9792
Y3 0.0000 0.0000 0.5000
Y4 0.6968 0.3936 0.0208
Y5 0.7670 0.5341 0.4254
Cd1 0.6672 0.0000 0.0000
Cd2 0.3328 0.0000 0.0000

***

The highest D(E_F) belongs to which entry?
Nd12Y5Cd2

***

Number 2 is which compound?
Nd12Y5Cd2